Entry 1:
# HfNbRu2

Crystalline HfNbRu2 at its relaxed geometry (PBE, the Alexandria database).

Fermi-level density of states in states/eV/cell: 5.68
SG: I-42d
Energy of formation in eV/atom: 0.147

Cell: 5.753 5.753 5.753 Å, 104.84 104.84 119.20°
Fractional positions:
Hf (0.000, 0.000, 0.000)
Hf (0.750, 0.250, 0.500)
Nb (0.250, 0.750, 0.500)
Nb (0.500, 0.500, 0.000)
Ru (0.140, 0.125, 0.515)
Ru (0.375, 0.860, 0.985)
Ru (0.610, 0.625, 0.485)
Ru (0.875, 0.390, 0.015)

---

Entry 2:
# CaTlOs2

Crystalline CaTlOs2 at its relaxed geometry (PBE, the Alexandria database).

Fermi-level density of states in states/eV/cell: 5.83
SG: Fm-3m
Energy of formation in eV/atom: 1.067
Energy above the lowest structure with this stoichiometry in meV/atom: 770

Cell: 4.726 4.726 4.726 Å, 60.00 60.00 60.00°
Fractional positions:
Ca (0.000, 0.000, 0.000)
Tl (0.500, 0.500, 0.500)
Os (0.250, 0.250, 0.250)
Os (0.750, 0.750, 0.750)

---

Entry 3:
# TiBeN2Cl

Crystalline TiBeN2Cl at its relaxed geometry (PBE, the Alexandria database).

Fermi-level density of states in states/eV/cell: 3.13
SG: P4/mmm
Uncorrected formation energy in eV per atom: 0.675

Cell: 3.765 3.765 6.572 Å, 90.00 90.00 90.00°
Fractional positions:
Ti (0.000, 0.000, 0.000)
Be (0.000, 0.000, 0.500)
N (0.000, 0.500, 0.000)
N (0.500, 0.000, 0.000)
Cl (0.500, 0.500, 0.500)

---

Entry 4:
# TcNiRu

Crystalline TcNiRu at its relaxed geometry (PBE, the Alexandria database).

Fermi-level density of states in states/eV/cell: 3.20
SG: P3m1
Energy of formation in eV/atom: 0.094
Energy above the lowest structure with this stoichiometry in meV/atom: 84

Cell: 2.689 2.689 6.423 Å, 90.00 90.00 120.00°
Fractional positions:
Tc (0.000, 0.000, 0.000)
Ni (0.667, 0.333, 0.334)
Ru (0.333, 0.667, 0.669)